--- A ---
Be2AlZn2: PBEsol geometry, meta-GGA SCAN.

extended XYZ file:
```
5
Lattice="-1.144 -2.966 -1.097 2.623 -1.542 1.433 -3.723 1.632 4.626" Properties=species:S:1:pos:R:3 pbc="T T T"
Be -0.181 -1.081 3.113
Be -2.064 -1.794 1.849
Zn 0.092 -2.388 1.208
Zn -2.337 -0.487 3.754
Al 0.000 0.000 0.000
```

## Properties
V in A^3/atom: 12.85

--- B ---
Be2AlZn2: PBEsol geometry, meta-GGA SCAN.

extended XYZ file:
```
10
Lattice="2.512 0.000 0.000 0.000 7.024 0.000 0.000 0.000 7.024" Properties=species:S:1:pos:R:3 pbc="T T T"
Zn 1.256 2.236 1.276
Zn 1.256 1.276 4.788
Zn 1.256 4.788 5.747
Zn 1.256 5.747 2.236
Be 0.000 4.314 0.802
Be 0.000 2.710 6.222
Be 0.000 6.222 4.314
Be 0.000 0.802 2.710
Al 0.000 3.512 3.512
Al 0.000 0.000 0.000
```

## Properties
V in A^3/atom: 12.39

Tell me which of them is the most stable. Sure, it is B.

--- A ---
Li2AlBiTe: PBEsol geometry, meta-GGA SCAN.

extended XYZ file:
```
5
Lattice="-0.989 -2.969 -3.721 4.158 1.312 -2.151 2.650 -4.139 2.598" Properties=species:S:1:pos:R:3 pbc="T T T"
Te 0.000 0.000 0.000
Li 2.079 0.656 -1.076
Li -0.494 -1.484 -1.861
Bi 2.910 -2.898 -1.637
Al 1.325 -2.070 1.299
```

## Properties
V in A^3/atom: 26.29

--- B ---
Li2AlBiTe: PBEsol geometry, meta-GGA SCAN.

extended XYZ file:
```
5
Lattice="-2.982 -0.919 3.765 3.481 -2.723 2.093 2.181 5.065 2.964" Properties=species:S:1:pos:R:3 pbc="T T T"
Bi 1.090 2.533 1.482
Te 0.000 0.000 0.000
Al 1.340 0.711 4.411
Li 1.741 -1.362 1.046
Li -1.491 -0.460 1.883
```

## Properties
V in A^3/atom: 29.95

Tell me which of them is the most stable. Sure, it is A.

--- A ---
AlBiP2O: PBEsol geometry, meta-GGA SCAN.

extended XYZ file:
```
5
Lattice="-0.693 1.474 -3.064 3.972 -2.267 -1.990 -2.847 -3.905 -1.235" Properties=species:S:1:pos:R:3 pbc="T T T"
O -0.347 0.737 -1.532
P 1.986 -1.133 -0.995
P -1.424 -1.953 -0.617
Al 0.000 0.000 0.000
Bi 0.216 -2.349 -3.144
```

## Properties
V in A^3/atom: 17.27

--- B ---
AlBiP2O: PBEsol geometry, meta-GGA SCAN.

extended XYZ file:
```
5
Lattice="-0.743 -4.193 -0.004 1.285 -0.231 4.054 -4.421 0.782 1.445" Properties=species:S:1:pos:R:3 pbc="T T T"
Al -1.940 -1.821 2.748
P 0.642 -0.116 2.027
P -0.371 -2.097 -0.002
Bi -2.210 0.391 0.723
O 0.000 0.000 0.000
```

## Properties
V in A^3/atom: 17.11

Tell me which of them is the most stable. Sure, it is A.

--- A ---
TaAl3Bi: PBEsol geometry, meta-GGA SCAN.

extended XYZ file:
```
5
Lattice="5.180 0.000 0.000 0.000 5.180 0.000 0.000 0.000 5.180" Properties=species:S:1:pos:R:3 pbc="T T T"
Al 2.590 0.000 0.000
Al 0.000 2.590 0.000
Al 0.000 0.000 2.590
Bi 0.000 0.000 0.000
Ta 2.590 2.590 2.590
```

## Properties
V in A^3/atom: 27.80

--- B ---
TaAl3Bi: PBEsol geometry, meta-GGA SCAN.

extended XYZ file:
```
5
Lattice="-1.067 2.174 -4.377 -4.884 -0.310 1.037 0.179 4.495 2.189" Properties=species:S:1:pos:R:3 pbc="T T T"
Al 0.089 2.247 1.094
Al -0.534 1.087 -2.189
Al -2.442 -0.155 0.518
Ta 0.000 0.000 0.000
Bi -2.886 3.179 -0.576
```

## Properties
V in A^3/atom: 25.04

Tell me which of them is the most stable. Sure, it is B.

--- A ---
Ca2AlBr: PBEsol geometry, meta-GGA SCAN.

extended XYZ file:
```
4
Lattice="4.326 0.000 0.000 0.000 4.326 0.000 -2.163 -2.163 6.044" Properties=species:S:1:pos:R:3 pbc="T T T"
Al 2.163 2.163 0.000
Br 0.000 2.163 3.022
Ca 0.000 0.000 0.000
Ca 2.163 0.000 3.022
```

## Properties
V in A^3/atom: 28.28

--- B ---
Ca2AlBr: PBEsol geometry, meta-GGA SCAN.

extended XYZ file:
```
8
Lattice="-3.901 -3.503 -4.382 -0.143 -3.118 6.078 -2.416 6.371 0.517" Properties=species:S:1:pos:R:3 pbc="T T T"
Br 0.000 0.000 0.000
Br -2.662 -2.497 2.497
Ca -5.363 0.198 -3.327
Ca -2.806 -0.579 0.346
Ca -0.458 -1.261 3.891
Ca -4.293 1.142 3.516
Al -1.279 1.626 3.298
Al -3.798 2.247 -0.284
```

## Properties
V in A^3/atom: 30.69

Tell me which of them is the most stable. Sure, it is B.

--- A ---
CaAlBr2: PBEsol geometry, meta-GGA SCAN.

extended XYZ file:
```
4
Lattice="5.084 0.000 0.000 -2.542 4.665 0.062 0.000 2.714 4.299" Properties=species:S:1:pos:R:3 pbc="T T T"
Ca 2.542 1.357 2.150
Br 2.542 4.368 3.255
Br 0.000 3.011 1.106
Al 0.000 0.000 0.000
```

## Properties
V in A^3/atom: 25.28

--- B ---
CaAlBr2: PBEsol geometry, meta-GGA SCAN.

extended XYZ file:
```
4
Lattice="3.837 0.000 0.000 0.000 4.432 0.000 0.000 0.000 6.082" Properties=species:S:1:pos:R:3 pbc="T T T"
Al 0.000 2.216 3.041
Br 1.918 0.000 3.041
Br 0.000 0.000 0.000
Ca 1.918 2.216 0.000
```

## Properties
V in A^3/atom: 25.85

--- C ---
CaAlBr2: PBEsol geometry, meta-GGA SCAN.

extended XYZ file:
```
4
Lattice="4.235 0.000 0.000 2.117 3.667 0.000 2.117 1.222 9.142" Properties=species:S:1:pos:R:3 pbc="T T T"
Br 6.352 3.667 2.742
Br 2.117 1.222 6.400
Al 4.235 2.445 4.571
Ca 0.000 0.000 0.000
```

## Properties
V in A^3/atom: 35.50

Tell me which of them is the most stable. Sure, it is B.